ZrCrAgS4 | PBE | optimized geometry

abc: 6.150 7.213 13.737
angles: 78.50 85.76 89.89
Space group P1 (No. 1)
One atom of each set of equivalent atoms:
Zr: 0.000 0.000 0.000 [1 per cell]
Zr: 0.002 0.498 0.001 [1 per cell]
Zr: 0.142 0.491 0.509 [1 per cell]
Zr: 0.634 0.800 0.515 [1 per cell]
Cr: 0.144 0.024 0.513 [1 per cell]
Cr: 0.511 0.252 0.002 [1 per cell]
Cr: 0.511 0.758 0.005 [1 per cell]
Cr: 0.635 0.272 0.512 [1 per cell]
Ag: 0.004 0.505 0.760 [1 per cell]
Ag: 0.309 0.421 0.282 [1 per cell]
Ag: 0.531 0.845 0.756 [1 per cell]
Ag: 0.999 0.913 0.229 [1 per cell]
S: 0.004 0.821 0.409 [1 per cell]
S: 0.207 0.792 0.896 [1 per cell]
S: 0.208 0.291 0.894 [1 per cell]
S: 0.269 0.742 0.621 [1 per cell]
S: 0.304 0.214 0.617 [1 per cell]
S: 0.345 0.467 0.102 [1 per cell]
S: 0.346 0.968 0.103 [1 per cell]
S: 0.476 0.082 0.407 [1 per cell]
S: 0.511 0.558 0.407 [1 per cell]
S: 0.671 0.043 0.898 [1 per cell]
S: 0.674 0.544 0.897 [1 per cell]
S: 0.775 0.478 0.615 [1 per cell]
S: 0.804 0.008 0.616 [1 per cell]
S: 0.811 0.212 0.112 [1 per cell]
S: 0.814 0.708 0.113 [1 per cell]
S: 0.976 0.287 0.406 [1 per cell]

Computed properties:
Energy relative to the lowest polymorph listed for this composition, eV per atom: 0.017
ΔE_f (raw), eV/atom: -0.897
Density, Mg/m³: 4.23
Total magnetic moment, μB per formula unit: 3.00

FeOsPt2 | PBE | optimized geometry

abc: 2.715 3.957 5.396
angles: 90.00 90.00 90.00
Space group Pmmm (No. 47)
One atom of each set of equivalent atoms:
Fe: 0.000 0.000 0.000 [1 per cell]
Os: 0.000 0.000 0.500 [1 per cell]
Pt: 0.500 0.500 0.250 [2 per cell]

Computed properties:
Energy relative to the lowest polymorph listed for this composition, eV per atom: 0.051
Formation energy, meV per atom: 24.4
Density, Mg/m³: 18.22
Total magnetic moment, μB per formula unit: 3.03

NaLaY2Se4 | PBE | optimized geometry

abc: 7.203 4.142 7.335
angles: 90.00 108.91 90.00
Space group P2/m (No. 10)
One atom of each set of equivalent atoms:
Na: 0.000 0.000 0.000 [1 per cell]
La: 0.500 0.500 0.000 [1 per cell]
Y: 0.000 0.500 0.500 [1 per cell]
Y: 0.500 0.000 0.500 [1 per cell]
Se: 0.241 0.000 0.737 [2 per cell]
Se: 0.252 0.500 0.263 [2 per cell]

Computed properties:
ΔE_f (raw), eV/atom: -1.798
Density, Mg/m³: 5.26
Total magnetic moment, μB per formula unit: 0.00

> Which value of total magnetic moment does entry 1 give?

3.00 μB per formula unit